Compound: NdGd4Lu
Source: the Alexandria database
Functional: PBE
Structure: relaxed

Computed properties:
For the density of states at the Fermi level, the calculation gives 46.00 states/eV/cell. The magnetization is 4.789 μB/atom. The volume comes out at 807.5 Å³ per cell.

abc: 9.3122 9.3122 9.3122
angles: 90.00 90.00 90.00
With the nearest neighbours (Å) after each atom.
Space group F-43m (No. 216)
Asymmetric unit:
Nd 0.0000 0.0000 0.0000  12 Gd 3.86, 4 Lu 4.03
Gd 0.1247 0.1247 0.3753  6 Gd 3.28-3.30
Lu 0.2500 0.2500 0.7500  12 Gd 3.86, 4 Nd 4.03


Compound: NdGdLu2
Source: the Alexandria database
Functional: PBE
Structure: relaxed

Computed properties:
For the density of states at the Fermi level, the calculation gives 23.95 states/eV/cell. Its energy relative to the lowest polymorph listed for this composition is 0.0570 eV/atom. The magnetization is 1.825 μB/atom. The volume comes out at 508.8 Å³ per cell.

abc: 7.9835 7.9835 7.9835
angles: 90.00 90.00 90.00
With the nearest neighbours (Å) after each atom.
Space group Fm-3m (No. 225)
Asymmetric unit:
Nd 0.0000 0.0000 0.0000  8 Lu 3.46
Gd 0.0000 0.0000 0.5000  8 Lu 3.46
Lu 0.2500 0.2500 0.2500  4 Gd 3.46, 4 Nd 3.46


Compound: NdGdLu2
Source: the Alexandria database
Functional: PBE
Structure: relaxed

Computed properties:
For the density of states at the Fermi level, the calculation gives 6.42 states/eV/cell. Its energy relative to the lowest polymorph listed for this composition is 0.0000 eV/atom. The magnetization is 1.845 μB/atom. The volume comes out at 125.7 Å³ per cell.

abc: 5.0503 5.0503 4.9289
angles: 90.00 90.00 90.00
With the nearest neighbours (Å) after each atom.
Space group P4/mmm (No. 123)
Asymmetric unit:
Nd 0.0000 0.0000 0.0000  8 Lu 3.53, 4 Gd 3.57
Gd 0.5000 0.5000 0.0000  8 Lu 3.53, 4 Nd 3.57
Lu 0.0000 0.5000 0.5000  4 Gd 3.53, 4 Nd 3.53, 4 Lu 3.57


Compound: NdGdLuPb
Source: the Alexandria database
Functional: PBE
Structure: relaxed

Computed properties:
For the density of states at the Fermi level, the calculation gives 18.05 states/eV/cell. The magnetization is 1.999 μB/atom. The volume comes out at 480.2 Å³ per cell.

abc: 7.8308 7.8308 7.8308
angles: 90.00 90.00 90.00
With the nearest neighbours (Å) after each atom.
Space group F-43m (No. 216)
Asymmetric unit:
Nd 0.0000 0.0000 0.0000  4 Pb 3.39, 4 Lu 3.39
Gd 0.0000 0.0000 0.5000  4 Pb 3.39, 4 Lu 3.39
Lu 0.2500 0.2500 0.2500  4 Gd 3.39, 4 Nd 3.39
Pb 0.2500 0.2500 0.7500  4 Gd 3.39, 4 Nd 3.39


Compound: PrNdGdLu
Source: the Alexandria database
Functional: PBE
Structure: relaxed

Computed properties:
For the density of states at the Fermi level, the calculation gives 30.46 states/eV/cell. The magnetization is 1.956 μB/atom. The volume comes out at 536.0 Å³ per cell.

abc: 8.1230 8.1230 8.1230
angles: 90.00 90.00 90.00
With the nearest neighbours (Å) after each atom.
Space group F-43m (No. 216)
Asymmetric unit:
Pr 0.0000 0.0000 0.0000  4 Gd 3.52, 4 Lu 3.52
Nd 0.0000 0.0000 0.5000  4 Gd 3.52, 4 Lu 3.52
Gd 0.2500 0.2500 0.2500  4 Pr 3.52, 4 Nd 3.52
Lu 0.2500 0.2500 0.7500  4 Pr 3.52, 4 Nd 3.52


Compound: NdGdLuPu
Source: the Alexandria database
Functional: PBE
Structure: relaxed

Computed properties:
For the density of states at the Fermi level, the calculation gives 50.34 states/eV/cell. The magnetization is 0.030 μB/atom. The volume comes out at 497.2 Å³ per cell.

abc: 7.9223 7.9223 7.9223
angles: 90.00 90.00 90.00
With the nearest neighbours (Å) after each atom.
Space group F-43m (No. 216)
Asymmetric unit:
Nd 0.0000 0.0000 0.0000  4 Pu 3.43, 4 Lu 3.43
Gd 0.0000 0.0000 0.5000  4 Lu 3.43, 4 Pu 3.43
Lu 0.2500 0.2500 0.7500  4 Gd 3.43, 4 Nd 3.43
Pu 0.2500 0.2500 0.2500  4 Gd 3.43, 4 Nd 3.43


Compound: NdGdLuRu
Source: the Alexandria database
Functional: PBE
Structure: relaxed

Computed properties:
For the density of states at the Fermi level, the calculation gives 21.99 states/eV/cell. The magnetization is 1.806 μB/atom. The volume comes out at 398.9 Å³ per cell.

abc: 7.3610 7.3610 7.3610
angles: 90.00 90.00 90.00
With the nearest neighbours (Å) after each atom.
Space group F-43m (No. 216)
Asymmetric unit:
Nd 0.0000 0.0000 0.0000  4 Ru 3.19, 4 Lu 3.19
Gd 0.0000 0.0000 0.5000  4 Lu 3.19, 4 Ru 3.19
Lu 0.2500 0.2500 0.2500  4 Gd 3.19, 4 Nd 3.19
Ru 0.2500 0.2500 0.7500  4 Gd 3.19, 4 Nd 3.19


Compound: NdGdLuSc
Source: the Alexandria database
Functional: PBE
Structure: relaxed

Computed properties:
For the density of states at the Fermi level, the calculation gives 23.14 states/eV/cell. The magnetization is 1.808 μB/atom. The volume comes out at 484.9 Å³ per cell.

abc: 7.8561 7.8561 7.8561
angles: 90.00 90.00 90.00
With the nearest neighbours (Å) after each atom.
Space group F-43m (No. 216)
Asymmetric unit:
Nd 0.0000 0.0000 0.0000  4 Sc 3.40, 4 Lu 3.40
Gd 0.0000 0.0000 0.5000  4 Lu 3.40, 4 Sc 3.40
Lu 0.2500 0.2500 0.7500  4 Gd 3.40, 4 Nd 3.40
Sc 0.2500 0.2500 0.2500  4 Gd 3.40, 4 Nd 3.40


Compound: NdSmGdLu
Source: the Alexandria database
Functional: PBE
Structure: relaxed

Computed properties:
For the density of states at the Fermi level, the calculation gives 32.09 states/eV/cell. The magnetization is 1.989 μB/atom. The volume comes out at 527.2 Å³ per cell.

abc: 8.0785 8.0785 8.0785
angles: 90.00 90.00 90.00
With the nearest neighbours (Å) after each atom.
Space group F-43m (No. 216)
Asymmetric unit:
Nd 0.0000 0.0000 0.0000  4 Gd 3.50, 4 Lu 3.50
Sm 0.0000 0.0000 0.5000  4 Lu 3.50, 4 Gd 3.50
Gd 0.2500 0.2500 0.7500  4 Nd 3.50, 4 Sm 3.50
Lu 0.2500 0.2500 0.2500  4 Nd 3.50, 4 Sm 3.50


Compound: GdLu2Ni
Source: the Alexandria database
Functional: PBE
Structure: relaxed

Computed properties:
For the density of states at the Fermi level, the calculation gives 20.60 states/eV/cell. Its energy relative to the lowest polymorph listed for this composition is 0.2611 eV/atom. The magnetization is 2.043 μB/atom. The volume comes out at 328.9 Å³ per cell.

abc: 3.5274 3.5274 30.5260
angles: 90.00 90.00 120.00
With the nearest neighbours (Å) after each atom.
Space group R-3m (No. 166, hexagonal axes)
Asymmetric unit:
Gd 0.0000 0.0000 0.0000  2 Lu 3.40, 6 Gd 3.53
Lu 0.0000 0.0000 0.1113  3 Ni 2.65
Ni 0.0000 0.0000 0.5000  6 Lu 2.65


Compound: GdLu2Ni
Source: the Alexandria database
Functional: PBE
Structure: relaxed

Computed properties:
For the density of states at the Fermi level, the calculation gives 4.55 states/eV/cell. Its energy relative to the lowest polymorph listed for this composition is 0.0000 eV/atom. The magnetization is 1.949 μB/atom. The volume comes out at 98.1 Å³ per cell.

abc: 3.3870 3.3870 8.5516
angles: 90.00 90.00 90.00
With the nearest neighbours (Å) after each atom.
Space group P4/mmm (No. 123)
Asymmetric unit:
Gd 0.0000 0.0000 0.0000  4 Gd 3.39, 8 Lu 3.61
Lu 0.5000 0.5000 0.3159  4 Ni 2.87, 1 Lu 3.15
Ni 0.0000 0.0000 0.5000  8 Lu 2.87


Compound: GdLuNi4
Source: the Alexandria database
Functional: PBE
Structure: relaxed

Computed properties:
For the density of states at the Fermi level, the calculation gives 12.21 states/eV/cell. The magnetization is 1.182 μB/atom. The volume comes out at 363.8 Å³ per cell.

abc: 7.1387 7.1387 7.1387
angles: 90.00 90.00 90.00
With the nearest neighbours (Å) after each atom.
Space group F-43m (No. 216)
Asymmetric unit:
Gd 0.0000 0.0000 0.0000  12 Ni 2.96, 4 Lu 3.09
Lu 0.2500 0.2500 0.7500  12 Ni 2.96, 4 Gd 3.09
Ni 0.1244 0.1244 0.3756  6 Ni 2.51-2.54


Number 1: E_form 1.52 eV/f.u.. Number 2: E_form 0.32 eV/f.u.. Number 3: E_form 0.09 eV/f.u.. Number 4: E_form -0.61 eV/f.u.. Number 5: E_form 0.39 eV/f.u.. Number 6: E_form 0.80 eV/f.u.. Number 7: E_form 0.49 eV/f.u.. Number 8: E_form 0.32 eV/f.u.. Number 9: E_form 0.43 eV/f.u.. Number 10: E_form 0.16 eV/f.u.. Number 11: E_form -0.88 eV/f.u.. Number 12: E_form -2.78 eV/f.u..